1.
PBE-GGA K2LaU3O12, optimized geometry; ΔE_f (raw) = -51.18 eV per formula unit; total DFT energy (no corrections) = -8.43 eV/atom; density = 5.756 Mg/m³; magnetic moment = 0.00 μB per formula unit
1.0
4.139 2.389 5.461
-4.139 2.389 5.461
0.000 -4.779 5.461
K La U O
2 1 3 12
direct
0.122 0.122 0.122
0.878 0.878 0.878
0.500 0.500 0.500
0.000 0.500 0.500
0.500 0.000 0.500
0.500 0.500 0.000
0.090 0.630 0.630
0.243 0.243 0.590
0.243 0.590 0.243
0.370 0.370 0.910
0.370 0.910 0.370
0.410 0.757 0.757
0.590 0.243 0.243
0.630 0.090 0.630
0.630 0.630 0.090
0.757 0.410 0.757
0.757 0.757 0.410
0.910 0.370 0.370

2.
PBE-GGA Np3UPa2N6, optimized geometry; ΔE_f (raw) = -15.88 eV per formula unit; total DFT energy (no corrections) = -11.24 eV/atom; density = 14.054 Mg/m³; magnetic moment = 10.76 μB per formula unit
1.0
3.008 -5.211 0.000
3.008 5.211 0.000
-2.009 0.000 5.635
Np U Pa N
3 1 2 6
direct
0.000 0.000 0.000
0.333 0.667 0.000
0.667 0.333 0.000
0.500 0.500 0.500
0.167 0.833 0.500
0.833 0.167 0.500
0.088 0.418 0.253
0.253 0.253 0.747
0.418 0.088 0.253
0.582 0.912 0.747
0.747 0.747 0.253
0.912 0.582 0.747

3.
PBE-GGA Y3GeRh8, optimized geometry; total DFT energy (no corrections) = -7.47 eV/atom; density = 9.089 Mg/m³; magnetic moment = 0.00 μB per formula unit; formation energy = -572 meV/atom
1.0
2.661 1.536 8.661
-2.661 1.536 8.661
0.000 -3.072 8.661
Y Ge Rh
3 1 8
direct
0.000 0.000 0.000
0.130 0.130 0.130
0.518 0.518 0.518
0.650 0.650 0.650
0.068 0.068 0.567
0.068 0.567 0.068
0.069 0.567 0.567
0.316 0.316 0.316
0.567 0.068 0.068
0.567 0.069 0.567
0.567 0.567 0.069
0.817 0.817 0.817